--- a ---
P5Pt3 | PBE-GGA | optimized geometry

Volume in Å³/atom: 15.97
Total magnetization in μB per formula unit: 0.000

Cell lengths 7.7903, 7.7903, 4.8608 Å; angles 90.00, 90.00, 120.00 degrees
Last column: nearest neighbours and their distance in Å.
Fractional coordinates of all 16 atoms:
P 0.6667 0.3333 0.5000  2 P 2.43
P 0.7224 0.0000 0.7500  5 Pt 2.55-2.69
P 0.0000 0.7224 0.7500  5 Pt 2.55-2.69
P 0.0000 0.2776 0.2500  5 Pt 2.55-2.69
P 0.7224 0.7224 0.2500  5 Pt 2.55-2.69
P 0.3333 0.6667 0.0000  2 P 2.43
Pt 0.3773 0.0000 0.7500  9 P 2.55-2.73
Pt 0.0000 0.6227 0.2500  9 P 2.55-2.73
Pt 0.0000 0.3773 0.7500  9 P 2.55-2.73
Pt 0.6227 0.6227 0.7500  9 P 2.55-2.73
P 0.2776 0.0000 0.2500  5 Pt 2.55-2.69
P 0.6667 0.3333 0.0000  2 P 2.43
P 0.2776 0.2776 0.7500  5 Pt 2.55-2.69
Pt 0.6227 0.0000 0.2500  9 P 2.55-2.73
P 0.3333 0.6667 0.5000  2 P 2.43
Pt 0.3773 0.3773 0.2500  9 P 2.55-2.73

---

--- b ---
P5Pt3 | PBE-GGA | optimized geometry

Volume in Å³/atom: 15.18
Total magnetization in μB per formula unit: 0.000

Cell lengths 5.2447, 5.2447, 4.4546 Å; angles 90.00, 90.00, 97.72 degrees
Last column: nearest neighbours and their distance in Å.
Fractional coordinates of all 8 atoms:
Pt 0.1820 0.8180 0.5000  10 P 2.59-2.87, 1 Pt 2.88
P 0.6877 0.6877 0.5000  6 Pt 2.58-2.83, 1 P 2.59
P 0.0000 0.0000 0.0000  4 P 2.62, 4 Pt 2.65
Pt 0.5000 0.5000 0.0000  8 P 2.58-2.62
P 0.5000 0.0000 0.0000  6 Pt 2.62-2.87, 2 P 2.62
P 0.3123 0.3123 0.5000  6 Pt 2.58-2.83, 1 P 2.59
P 0.0000 0.5000 0.0000  6 Pt 2.62-2.87, 2 P 2.62
Pt 0.8180 0.1820 0.5000  10 P 2.59-2.87, 1 Pt 2.88

---

Best to worst by energy: a, b.

---

--- a ---
Pu2PPt | PBE-GGA | optimized geometry

Volume in Å³/atom: 22.52
Total magnetization in μB per formula unit: 11.012

Cell lengths 5.5356, 5.6502, 6.4158 Å; angles 116.12, 90.00, 90.00 degrees
Last column: nearest neighbours and their distance in Å.
Fractional coordinates of all 8 atoms:
Pu 0.7500 0.3678 0.7355  3 P 2.73-2.79, 2 Pt 2.89
Pu 0.2500 0.9162 0.8324  2 P 2.84, 3 Pt 3.01-3.12
P 0.7500 0.6045 0.2091  1 Pt 2.40
P 0.2500 0.3955 0.7909  1 Pt 2.40
Pt 0.2500 0.1868 0.3736  1 P 2.40
Pu 0.2500 0.6322 0.2645  3 P 2.73-2.79, 2 Pt 2.89
Pu 0.7500 0.0838 0.1676  2 P 2.84, 3 Pt 3.01-3.12
Pt 0.7500 0.8132 0.6264  1 P 2.40

---

--- b ---
Pu2PPt | PBE-GGA | optimized geometry

Volume in Å³/atom: 20.74
Total magnetization in μB per formula unit: 10.602

Cell lengths 3.4926, 3.4926, 6.8004 Å; angles 90.00, 90.00, 90.00 degrees
Last column: nearest neighbours and their distance in Å.
Fractional coordinates of all 4 atoms:
Pu 0.0000 0.0000 0.2338  4 P 2.94, 4 Pt 3.06, 1 Pu 3.18
Pu 0.0000 0.0000 0.7662  4 P 2.94, 4 Pt 3.06, 1 Pu 3.18
Pt 0.5000 0.5000 0.5000  8 Pu 3.06, 2 P 3.40
P 0.5000 0.5000 0.0000  8 Pu 2.94

---

--- c ---
Pu2PPt | PBE-GGA | optimized geometry

Volume in Å³/atom: 23.59
Total magnetization in μB per formula unit: 10.765

Cell lengths 3.9668, 3.9668, 7.2945 Å; angles 74.22, 74.22, 60.00 degrees
Last column: nearest neighbours and their distance in Å.
Fractional coordinates of all 4 atoms:
P 0.0000 0.0000 0.0000  6 Pu 2.84
Pu 0.2527 0.2527 0.2420  3 P 2.84, 3 Pt 2.90
Pu 0.7473 0.7473 0.7580  3 P 2.84, 3 Pt 2.90
Pt 0.5000 0.5000 0.5000  6 Pu 2.90

---

Best to worst by energy: c, b, a.